(1)
# Li2NdIn4

Li2NdIn4 after structural relaxation (PBE, the Alexandria database).

Geometry as POSCAR:
```
Li2NdIn4
1.0
-2.962 2.962 5.798
2.962 -2.962 5.798
2.962 2.962 -5.798
Li Nd In
2 1 4
Direct
0.133 0.133 0.000
0.867 0.867 0.000
0.500 0.500 0.000
0.000 0.500 0.500
0.250 0.750 0.500
0.500 0.000 0.500
0.750 0.250 0.500
```

## Properties
Formation enthalpy at 0 K in eV/f.u.: 0.316
Space group: I4/mmm (139)

=====

(2)
# LaZr2In

LaZr2In after structural relaxation (PBE, the Alexandria database).

Geometry as POSCAR:
```
LaZr2In
1.0
5.743 -1.692 0.000
5.743 1.692 0.000
-1.794 0.000 5.225
La Zr In
1 2 1
Direct
0.000 0.000 0.000
0.231 0.231 0.796
0.501 0.501 0.490
0.759 0.759 0.339
```

## Properties
Formation enthalpy at 0 K in eV/f.u.: -0.124
Space group: Cm (8)

=====

(3)
# Ba2ZrCu

Ba2ZrCu after structural relaxation (PBE, the Alexandria database).

Geometry as POSCAR:
```
Ba2ZrCu
1.0
4.097 0.000 0.000
0.000 4.638 0.000
-2.046 0.000 7.711
Ba Zr Cu
2 1 1
Direct
0.000 0.000 0.000
0.295 0.500 0.589
0.683 0.000 0.365
0.600 0.500 0.205
```

## Properties
Formation enthalpy at 0 K in eV/f.u.: 1.696
Space group: Pm (6)
E above lowest polymorph in eV per formula unit: 0.64

=====

(4)
# As2RhBrCl

As2RhBrCl after structural relaxation (PBE, the Alexandria database).

Geometry as POSCAR:
```
As2RhBrCl
1.0
4.768 0.000 0.000
0.000 4.768 0.000
0.000 0.000 5.408
As Rh Br Cl
2 1 1 1
Direct
0.000 0.500 0.000
0.500 0.000 0.000
0.000 0.000 0.500
0.500 0.500 0.500
0.500 0.500 0.000
```

## Properties
Space group: P4/mmm (123)
E above lowest polymorph in eV per formula unit: 5.24

=====

(5)
# Tb5Ag4Ir

Tb5Ag4Ir after structural relaxation (PBE, the Alexandria database).

Geometry as POSCAR:
```
Tb5Ag4Ir
1.0
3.584 0.000 0.000
0.000 3.584 0.000
0.000 0.000 18.333
Tb Ag Ir
5 4 1
Direct
0.000 0.000 0.000
0.000 0.000 0.205
0.000 0.000 0.412
0.000 0.000 0.588
0.000 0.000 0.795
0.500 0.500 0.102
0.500 0.500 0.304
0.500 0.500 0.696
0.500 0.500 0.898
0.500 0.500 0.500
```

## Properties
Formation enthalpy at 0 K in eV/f.u.: -4.178
Space group: P4/mmm (123)

=====

(6)
# CsDyTl2F6

CsDyTl2F6 after structural relaxation (PBE, the Alexandria database).

Geometry as POSCAR:
```
CsDyTl2F6
1.0
6.782 0.000 0.000
3.102 6.033 0.000
3.102 1.892 5.735
Cs Dy Tl F
1 1 2 6
Direct
0.000 0.000 0.000
0.500 0.500 0.500
0.274 0.274 0.274
0.726 0.726 0.726
0.175 0.409 0.668
0.331 0.826 0.590
0.410 0.668 0.175
0.590 0.332 0.825
0.669 0.174 0.410
0.825 0.591 0.332
```

## Properties
Energy in eV per atom: -5.064
Space group: P-1 (2)

=====

(7)
# Tm2GaH

Tm2GaH after structural relaxation (PBE, the Alexandria database).

Geometry as POSCAR:
```
Tm2GaH
1.0
-1.781 3.155 6.990
1.781 -3.155 6.990
1.781 3.155 -6.990
Tm Ga H
4 2 2
Direct
0.196 0.196 0.000
0.249 0.500 0.749
0.751 0.500 0.251
0.804 0.804 0.000
0.362 0.862 0.500
0.638 0.138 0.500
0.106 0.606 0.500
0.894 0.394 0.500
```

## Properties
Space group: Immm (71)
E above lowest polymorph in eV per formula unit: 0.00

=====

(8)
# NpAgTe2O8

NpAgTe2O8 after structural relaxation (PBE, the Alexandria database).

Geometry as POSCAR:
```
NpAgTe2O8
1.0
6.500 0.000 0.000
-3.250 5.629 0.000
0.000 0.000 6.309
Np Ag Te O
1 1 2 8
Direct
0.000 0.000 0.000
0.000 0.000 0.500
0.333 0.667 0.232
0.667 0.333 0.768
0.145 0.290 0.195
0.145 0.855 0.195
0.290 0.145 0.805
0.333 0.667 0.518
0.667 0.333 0.482
0.710 0.855 0.195
0.855 0.145 0.805
0.855 0.710 0.805
```

## Properties
Energy in eV per atom: -6.407
Space group: P-3m1 (164)

=====

Values of volume, in order: 29.07, 25.38, 36.63, 24.59, 23.54, 23.47, 19.64, 19.24, all in Å³/atom.